No. 1
Material: BeNiSe
Method: DFT, PBE
State: relaxed

Values from the calculation:
- energy (eV/atom) = -4.4891
- formation energy from raw total energies (kJ/mol of formula units) = -46
- crystal system = orthorhombic

POSCAR file:
```
BeNiSe
1.0
6.411 0.000 0.000
0.000 3.835 0.000
0.000 0.000 7.154
Ni Se Be
4 4 4
Direct
0.248 0.250 0.458
0.252 0.750 0.958
0.752 0.750 0.542
0.748 0.250 0.042
0.875 0.250 0.347
0.625 0.750 0.847
0.125 0.750 0.653
0.375 0.250 0.153
0.082 0.250 0.981
0.418 0.750 0.481
0.918 0.750 0.019
0.582 0.250 0.519
```


No. 2
Material: BeCo2B
Method: DFT, PBE
State: relaxed

Values from the calculation:
- E_form (eV/atom) = -0.09
- energy (eV/atom) = -6.2459
- crystal system = trigonal
- distance to the lowest polymorph of the same formula (meV per atom) = 252

POSCAR file:
```
BeCo2B
1.0
2.560 0.000 0.000
1.280 2.217 0.000
1.280 0.739 6.227
Be Co B
1 2 1
Direct
0.500 0.500 0.499
0.073 0.073 0.782
0.261 0.261 0.218
0.667 0.667 0.000
```


No. 3
Material: ReSe3
Method: DFT, PBE
State: relaxed

Values from the calculation:
- energy (eV/atom) = -5.2005
- formation energy from raw total energies (kJ/mol of formula units) = 203
- crystal system = cubic
- distance to the lowest polymorph of the same formula (meV per atom) = 552

POSCAR file:
```
ReSe3
1.0
4.919 0.000 0.000
0.000 4.919 0.000
0.000 0.000 4.919
Re Se
1 3
Direct
0.000 0.000 0.000
0.500 0.000 0.000
0.000 0.500 0.000
0.000 0.000 0.500
```


No. 4
Material: TePd
Method: DFT, PBE
State: relaxed

Values from the calculation:
- energy (eV/atom) = -4.4190
- formation energy from raw total energies (kJ/mol of formula units) = -49
- crystal system = orthorhombic

POSCAR file:
```
TePd
1.0
-3.851 -0.104 1.348
0.870 -4.769 2.118
3.774 5.669 11.213
Te Pd
6 6
Direct
0.000 0.739 0.790
0.500 0.261 0.710
0.500 0.261 0.290
0.000 0.739 0.210
0.000 0.623 0.500
0.500 0.377 0.000
0.000 0.024 0.619
0.500 0.976 0.881
0.500 0.976 0.119
0.000 0.024 0.381
0.000 0.698 0.000
0.500 0.302 0.500
```


No. 5
Material: LaBTe2N
Method: DFT, PBE
State: relaxed

Values from the calculation:
- energy (eV/atom) = -4.1224
- formation energy from raw total energies (kJ/mol of formula units) = 540
- crystal system = tetragonal
- distance to the lowest polymorph of the same formula (meV per atom) = 1336

POSCAR file:
```
LaBTe2N
1.0
6.514 0.000 0.000
0.000 6.514 0.000
0.000 0.000 3.965
N Te B La
1 2 1 1
Direct
0.000 0.000 0.500
0.000 0.500 0.000
0.500 0.000 0.000
0.500 0.500 0.500
0.000 0.000 0.000
```


No. 6
Material: Pr2MgTe
Method: DFT, PBE
State: relaxed

Values from the calculation:
- energy (eV/atom) = -3.8367
- formation energy from raw total energies (kJ/mol of formula units) = -101
- crystal system = trigonal
- distance to the lowest polymorph of the same formula (meV per atom) = 426

POSCAR file:
```
Pr2MgTe
1.0
-4.002 -0.864 0.283
-1.376 -2.371 3.054
-3.250 7.690 7.262
Pr Mg Te
2 1 1
Direct
0.105 0.105 0.685
0.895 0.895 0.315
0.000 0.000 0.000
0.500 0.500 0.500
```